DFT (PBE) results for crystalline Li2CoNi at its relaxed geometry.

The space group is Cmmm (No. 65) and the conventional cell measures 2.585, 4.165 and 8.603 Å, with angles of 90.00, 90.00 and 90.00 degrees. The asymmetric unit holds Li at (0.000, 0.000, 0.245), Co at (0.000, 0.500, 0.500) and Ni at (0.000, 0.500, 0.000).

The calculation puts the formation enthalpy at 0 K at 0.0650 eV/atom. The density of states at the Fermi level comes out at 5.5 states/eV/cell. The theoretical density is 4.716 Mg/m³. For the total energy, the calculation gives -0.1512 hartree per atom. The calculation puts the energy above the most stable polymorph in this dataset at 0.039 eV/atom.


DFT (PBE) results for crystalline YScInP2 at its relaxed geometry.

The space group is P4/mmm (No. 123) and the conventional cell measures 4.921, 4.921 and 5.578 Å, with angles of 90.00, 90.00 and 90.00 degrees. The asymmetric unit holds Y at (0.000, 0.000, 0.000), Sc at (0.000, 0.000, 0.500), In at (0.500, 0.500, 0.000) and P at (0.000, 0.500, 0.500).

The calculation puts the formation enthalpy at 0 K at 0.2494 eV/atom. The density of states at the Fermi level comes out at 6.1 states/eV/cell. The theoretical density is 3.819 Mg/m³. For the total energy, the calculation gives -0.1845 hartree per atom.


DFT (PBE) results for crystalline In2Sn2O7 at its relaxed geometry.

The space group is Fd-3m (No. 227, origin choice 2) and the conventional cell measures 10.378, 10.378 and 10.378 Å, with angles of 90.00, 90.00 and 90.00 degrees. The asymmetric unit holds In at (0.000, 0.000, 0.000), Sn at (0.000, 0.000, 0.500), O at (0.092, 0.375, 0.875) and O at (0.125, 0.125, 0.125).

The value obtained for the energy relative to the elements, uncorrected is -1523 meV per atom. The density of states at the Fermi level comes out at 1.5 states/eV/cell. The theoretical density is 6.882 Mg/m³. For the total energy, the calculation gives -0.2170 hartree per atom.